VASP calculation (PBE+U) on crystalline Rb3BaMn2F9 at its relaxed geometry.

Output
Space-group type: P-3m1 (164)
Uncorrected energy (hartree per atom): -0.1975

Cell lengths 6.2901, 6.2901, 8.3790 Å; angles 90.00, 90.00, 120.00 degrees
Sites, in units of the cell vectors:
Rb 0.0000 0.0000 0.0000
Rb 0.3333 0.6667 0.7275
Rb 0.6667 0.3333 0.2725
Ba 0.0000 0.0000 0.5000
Mn 0.3333 0.6667 0.1514
Mn 0.6667 0.3333 0.8486
F 0.0000 0.5000 0.0000
F 0.1744 0.3487 0.2949
F 0.1744 0.8256 0.2949
F 0.3487 0.1744 0.7051
F 0.5000 0.0000 0.0000
F 0.5000 0.5000 0.0000
F 0.6513 0.8256 0.2949
F 0.8256 0.1744 0.7051
F 0.8256 0.6513 0.7051